Compound: La3SiNi2
Source: Alexandria
Functional: GGA-PBE
Structure: relaxed

a = 4.010 Å, b = 4.690 Å, c = 15.164 Å
α = 90.00°, β = 90.00°, γ = 90.00°
Fractional positions:
La 0.000 0.000 0.000
La 0.000 0.500 0.171
La 0.000 0.500 0.829
La 0.500 0.000 0.329
La 0.500 0.000 0.671
La 0.500 0.500 0.500
Si 0.000 0.000 0.500
Si 0.500 0.500 0.000
Ni 0.000 0.500 0.364
Ni 0.000 0.500 0.636
Ni 0.500 0.000 0.136
Ni 0.500 0.000 0.864

The space-group type is Immm. The calculation puts the calculated total energy at -0.4164 Ry per atom.